1.
# KOsRh GGA-PBE optimized geometry
data_KOsRh
_chemical_formula_sum 'K2 Os2 Rh2'
_cell_length_a 4.535
_cell_length_b 4.225
_cell_length_c 8.028
_cell_angle_alpha 90.00
_cell_angle_beta 93.54
_cell_angle_gamma 90.00
_symmetry_space_group_name_H-M 'P 1 m 1'
_symmetry_Int_Tables_number 6
_symmetry_space_group_name_Hall 'P -2y'
loop_
_atom_site_label
_atom_site_type_symbol
_atom_site_fract_x
_atom_site_fract_y
_atom_site_fract_z
K1 K 0.000 0.000 0.000
K2 K 0.473 0.500 0.708
Os1 Os 0.431 0.000 0.358
Os2 Os 0.558 0.500 0.226
Rh1 Rh 0.048 0.500 0.344
Rh2 Rh 0.914 0.000 0.503
# - crystal system = monoclinic
# - distance to the lowest polymorph of the same formula (meV/atom) = 62

***

2.
# KOsRh GGA-PBE optimized geometry
data_KOsRh
_chemical_formula_sum 'K4 Os4 Rh4'
_cell_length_a 7.000
_cell_length_b 5.863
_cell_length_c 7.465
_cell_angle_alpha 90.00
_cell_angle_beta 90.51
_cell_angle_gamma 90.00
_symmetry_space_group_name_H-M 'C 1 2/m 1'
_symmetry_Int_Tables_number 12
_symmetry_space_group_name_Hall '-C 2y'
loop_
_atom_site_label
_atom_site_type_symbol
_atom_site_fract_x
_atom_site_fract_y
_atom_site_fract_z
K1 K 0.246 0.000 0.358
Os1 Os 0.000 0.288 0.000
Rh1 Rh 0.209 0.000 0.872
# - crystal system = monoclinic
# - distance to the lowest polymorph of the same formula (meV/atom) = 36

***

3.
# KOsRh GGA-PBE optimized geometry
data_KOsRh
_chemical_formula_sum 'K4 Os4 Rh4'
_cell_length_a 8.027
_cell_length_b 4.408
_cell_length_c 6.973
_cell_angle_alpha 90.00
_cell_angle_beta 90.00
_cell_angle_gamma 90.00
_symmetry_space_group_name_H-M 'P n m a'
_symmetry_Int_Tables_number 62
_symmetry_space_group_name_Hall '-P 2ac 2n'
loop_
_atom_site_label
_atom_site_type_symbol
_atom_site_fract_x
_atom_site_fract_y
_atom_site_fract_z
K1 K 0.000 0.250 0.138
Os1 Os 0.150 0.250 0.583
Rh1 Rh 0.153 0.750 0.412
# - crystal system = orthorhombic
# - distance to the lowest polymorph of the same formula (meV/atom) = 331

***

4.
# KOsRh GGA-PBE optimized geometry
data_KOsRh
_chemical_formula_sum 'K4 Os4 Rh4'
_cell_length_a 12.283
_cell_length_b 4.407
_cell_length_c 5.087
_cell_angle_alpha 90.00
_cell_angle_beta 90.60
_cell_angle_gamma 90.00
_symmetry_space_group_name_H-M 'C 1 m 1'
_symmetry_Int_Tables_number 8
_symmetry_space_group_name_Hall 'C -2y'
loop_
_atom_site_label
_atom_site_type_symbol
_atom_site_fract_x
_atom_site_fract_y
_atom_site_fract_z
K1 K 0.000 0.000 0.000
K2 K 0.033 0.500 0.501
Os1 Os 0.237 0.500 0.014
Os2 Os 0.284 0.000 0.803
Rh1 Rh 0.244 0.000 0.298
Rh2 Rh 0.294 0.500 0.519
# - crystal system = monoclinic
# - distance to the lowest polymorph of the same formula (meV/atom) = 73

***

5.
# KOsRh GGA-PBE optimized geometry
data_KOsRh
_chemical_formula_sum 'K4 Os4 Rh4'
_cell_length_a 6.338
_cell_length_b 6.338
_cell_length_c 6.338
_cell_angle_alpha 90.00
_cell_angle_beta 90.00
_cell_angle_gamma 90.00
_symmetry_space_group_name_H-M 'F -4 3 m'
_symmetry_Int_Tables_number 216
_symmetry_space_group_name_Hall 'F -4 2 3'
loop_
_atom_site_label
_atom_site_type_symbol
_atom_site_fract_x
_atom_site_fract_y
_atom_site_fract_z
K1 K 0.000 0.000 0.000
Os1 Os 0.000 0.000 0.500
Rh1 Rh 0.250 0.250 0.250
# - crystal system = cubic
# - distance to the lowest polymorph of the same formula (meV/atom) = 1203

***

6.
# KOsRh GGA-PBE optimized geometry
data_KOsRh
_chemical_formula_sum 'K2 Os2 Rh2'
_cell_length_a 4.600
_cell_length_b 4.600
_cell_length_c 7.234
_cell_angle_alpha 90.00
_cell_angle_beta 90.00
_cell_angle_gamma 90.00
_symmetry_space_group_name_H-M 'P 4/n m m'
_symmetry_Int_Tables_number 129
loop_
_symmetry_equiv_pos_as_xyz
'x,y,z'
'-x,-y,-z'
'-y+1/2,x,z'
'y+1/2,-x,-z'
'-x+1/2,-y+1/2,z'
'x+1/2,y+1/2,-z'
'y,-x+1/2,z'
'-y,x+1/2,-z'
'x+1/2,-y,-z'
'-x+1/2,y,z'
'-y,-x,-z'
'y,x,z'
'-x,y+1/2,-z'
'x,-y+1/2,z'
'y+1/2,x+1/2,-z'
'-y+1/2,-x+1/2,z'
loop_
_atom_site_label
_atom_site_type_symbol
_atom_site_fract_x
_atom_site_fract_y
_atom_site_fract_z
K1 K 0.250 0.250 0.140
Os1 Os 0.250 0.250 0.624
Rh1 Rh 0.250 0.750 0.500
# - crystal system = tetragonal
# - distance to the lowest polymorph of the same formula (meV/atom) = 267

***

7.
# KOsRh GGA-PBE optimized geometry
data_KOsRh
_chemical_formula_sum 'K2 Os2 Rh2'
_cell_length_a 5.293
_cell_length_b 4.071
_cell_length_c 6.670
_cell_angle_alpha 90.00
_cell_angle_beta 101.20
_cell_angle_gamma 90.00
_symmetry_space_group_name_H-M 'P 1 m 1'
_symmetry_Int_Tables_number 6
_symmetry_space_group_name_Hall 'P -2y'
loop_
_atom_site_label
_atom_site_type_symbol
_atom_site_fract_x
_atom_site_fract_y
_atom_site_fract_z
K1 K 0.000 0.000 0.000
K2 K 0.474 0.500 0.871
Os1 Os 0.123 0.000 0.500
Os2 Os 0.863 0.500 0.394
Rh1 Rh 0.350 0.500 0.364
Rh2 Rh 0.631 0.000 0.509
# - crystal system = monoclinic
# - distance to the lowest polymorph of the same formula (meV/atom) = 7

***

8.
# KOsRh GGA-PBE optimized geometry
data_KOsRh
_chemical_formula_sum 'K4 Os4 Rh4'
_cell_length_a 4.466
_cell_length_b 12.135
_cell_length_c 5.107
_cell_angle_alpha 90.00
_cell_angle_beta 90.00
_cell_angle_gamma 90.00
_symmetry_space_group_name_H-M 'C m c m'
_symmetry_Int_Tables_number 63
_symmetry_space_group_name_Hall '-C 2c 2'
loop_
_atom_site_label
_atom_site_type_symbol
_atom_site_fract_x
_atom_site_fract_y
_atom_site_fract_z
K1 K 0.000 0.235 0.250
Os1 Os 0.000 0.027 0.750
Rh1 Rh 0.000 0.500 0.000
# - crystal system = orthorhombic
# - distance to the lowest polymorph of the same formula (meV/atom) = 125

***

9.
# KOsRh GGA-PBE optimized geometry
data_KOsRh
_chemical_formula_sum 'K1 Os1 Rh1'
_cell_length_a 4.1088
_cell_length_b 4.1088
_cell_length_c 5.5497
_cell_angle_alpha 90.00
_cell_angle_beta 90.00
_cell_angle_gamma 120.00
_symmetry_space_group_name_H-M 'P -6 m 2'
_symmetry_Int_Tables_number 187
_symmetry_space_group_name_Hall 'P -6 2'
loop_
_atom_site_label
_atom_site_type_symbol
_atom_site_fract_x
_atom_site_fract_y
_atom_site_fract_z
K1 K 0.0000 0.0000 0.0000
Os1 Os 0.6667 0.3333 0.5000
Rh1 Rh 0.3333 0.6667 0.5000
# - crystal system = hexagonal
# - distance to the lowest polymorph of the same formula (meV/atom) = 461

***

10.
# KOsRh GGA-PBE optimized geometry
data_KOsRh
_chemical_formula_sum 'K1 Os1 Rh1'
_cell_length_a 2.8032
_cell_length_b 2.8032
_cell_length_c 7.9682
_cell_angle_alpha 90.00
_cell_angle_beta 90.00
_cell_angle_gamma 120.00
_symmetry_space_group_name_H-M 'P 3 m 1'
_symmetry_Int_Tables_number 156
_symmetry_space_group_name_Hall 'P 3 -2"'
loop_
_atom_site_label
_atom_site_type_symbol
_atom_site_fract_x
_atom_site_fract_y
_atom_site_fract_z
K1 K 0.0000 0.0000 0.0000
Os1 Os 0.6667 0.3333 0.3719
Rh1 Rh 0.3333 0.6667 0.6344
# - crystal system = trigonal
# - distance to the lowest polymorph of the same formula (meV/atom) = 372

***

11.
# KOsRh GGA-PBE optimized geometry
data_KOsRh
_chemical_formula_sum 'K2 Os2 Rh2'
_cell_length_a 5.098
_cell_length_b 4.197
_cell_length_c 6.665
_cell_angle_alpha 90.00
_cell_angle_beta 95.50
_cell_angle_gamma 90.00
_symmetry_space_group_name_H-M 'P 1 21/m 1'
_symmetry_Int_Tables_number 11
_symmetry_space_group_name_Hall '-P 2yb'
loop_
_atom_site_label
_atom_site_type_symbol
_atom_site_fract_x
_atom_site_fract_y
_atom_site_fract_z
K1 K 0.249 0.250 0.089
Os1 Os 0.117 0.750 0.479
Rh1 Rh 0.403 0.250 0.599
# - crystal system = monoclinic
# - distance to the lowest polymorph of the same formula (meV/atom) = 0

***

12.
# KOsRh GGA-PBE optimized geometry
data_KOsRh
_chemical_formula_sum 'K2 Os2 Rh2'
_cell_length_a 4.9637
_cell_length_b 4.9637
_cell_length_c 5.2223
_cell_angle_alpha 90.00
_cell_angle_beta 90.00
_cell_angle_gamma 120.00
_symmetry_space_group_name_H-M 'P 63/m m c'
_symmetry_Int_Tables_number 194
_symmetry_space_group_name_Hall '-P 6c 2c'
loop_
_atom_site_label
_atom_site_type_symbol
_atom_site_fract_x
_atom_site_fract_y
_atom_site_fract_z
K1 K 0.0000 0.0000 0.0000
Os1 Os 0.3333 0.6667 0.2500
Rh1 Rh 0.3333 0.6667 0.7500
# - crystal system = hexagonal
# - distance to the lowest polymorph of the same formula (meV/atom) = 891

***

Which formula does entry 2 have?
KOsRh

***

Look up the distance to the lowest polymorph of the same formula of the twelfth one.
891 meV/atom

***

Among the records above, which one has the lowest distance to the lowest polymorph of the same formula?
number 11

***

Number 9 is which compound?
KOsRh